AlB2C: relaxed, PBE.

Unit cell a=4.939 b=4.939 c=4.939 alpha=123.97 beta=123.97 gamma=83.25
Fractional positions:
Al1 0.000 0.000 0.000
Al2 0.750 0.250 0.500
B1 0.235 0.625 0.110
B2 0.375 0.485 0.610
B3 0.515 0.125 0.890
B4 0.875 0.765 0.390
C1 0.250 0.750 0.500
C2 0.500 0.500 0.000

Results
total moment	0.00	μB/cell
ρ	2.5	g cm⁻³
DFT formation energy	0.55	eV/atom